Material: NdHoBr
Method: DFT, PBE-GGA
State: optimized geometry

Results
energy relative to the elements, uncorrected = -0.7421 eV/atom
size of the total moment = 0.4 Bohr magnetons per cell
ρ = 7.07 g/cm3
E_tot = -4.415 eV/atom
space-group type = No. 156

a = 3.759 Å, b = 3.759 Å, c = 7.465 Å
α = 90.00°, β = 90.00°, γ = 120.00°
Element x y z (fractional)
Nd1 0.000 0.000 0.000
Ho1 0.667 0.333 0.366
Br1 0.333 0.667 0.667